1.
First-principles (GGA-PBE) data for a relaxed structure of AsHW, as listed in the Alexandria database.

```
AsHW
1.0
6.9842 0.0000 0.0000
0.0000 6.9842 0.0000
0.0000 0.0000 3.2281
As H W
4 4 4
Direct
0.0905 0.6951 0.0000 As
0.3049 0.0905 0.5000 As
0.6951 0.9095 0.5000 As
0.9095 0.3049 0.0000 As
0.1606 0.4231 0.5000 H
0.4231 0.8394 0.0000 H
0.5769 0.1606 0.0000 H
0.8394 0.5769 0.5000 H
0.2817 0.3811 0.0000 W
0.3811 0.7183 0.5000 W
0.6189 0.2817 0.5000 W
0.7183 0.6189 0.0000 W
```

Calculated values
- offset from the most stable computed form (eV per atom) = 0.000
- space-group type = P4_2/m (84)
- mass density (g/cm³) = 10.958

***

2.
First-principles (GGA-PBE) data for a relaxed structure of AsH3W, as listed in the Alexandria database.

```
AsH3W
1.0
3.5302 0.0000 0.0000
0.0000 3.5302 0.0000
0.0000 0.0000 3.5302
As H W
1 3 1
Direct
0.0000 0.0000 0.0000 As
0.0000 0.0000 0.5000 H
0.0000 0.5000 0.0000 H
0.5000 0.0000 0.0000 H
0.5000 0.5000 0.5000 W
```

Calculated values
- offset from the most stable computed form (eV per atom) = 0.738
- space-group type = Pm-3m (221)
- mass density (g/cm³) = 9.881

***

3.
First-principles (GGA-PBE) data for a relaxed structure of As2HW, as listed in the Alexandria database.

```
As2HW
1.0
0.0000 3.0817 3.0817
3.0817 0.0000 3.0817
3.0817 3.0817 0.0000
As H W
2 1 1
Direct
0.2500 0.2500 0.2500 As
0.7500 0.7500 0.7500 As
0.0000 0.0000 0.0000 H
0.5000 0.5000 0.5000 W
```

Calculated values
- offset from the most stable computed form (eV per atom) = 0.121
- space-group type = Fm-3m (225)
- mass density (g/cm³) = 9.495

***

4.
First-principles (GGA-PBE) data for a relaxed structure of AsH2W2, as listed in the Alexandria database.

```
AsH2W2
1.0
-1.9764 1.9764 3.6663
1.9764 -1.9764 3.6663
1.9764 1.9764 -3.6663
As H W
1 2 2
Direct
0.0000 0.0000 0.0000 As
0.3463 0.3463 0.0000 H
0.6537 0.6537 0.0000 H
0.2500 0.7500 0.5000 W
0.7500 0.2500 0.5000 W
```

Calculated values
- offset from the most stable computed form (eV per atom) = 0.000
- space-group type = I4/mmm (139)
- mass density (g/cm³) = 12.889

***

5.
First-principles (GGA-PBE) data for a relaxed structure of AsH3W, as listed in the Alexandria database.

```
AsH3W
1.0
3.5893 0.0000 0.0000
0.0000 3.5893 0.0000
0.0000 0.0000 3.5893
As H W
1 3 1
Direct
0.0000 0.0000 0.0000 As
0.0000 0.5000 0.5000 H
0.5000 0.0000 0.5000 H
0.5000 0.5000 0.0000 H
0.5000 0.5000 0.5000 W
```

Calculated values
- offset from the most stable computed form (eV per atom) = 0.000
- space-group type = Pm-3m (221)
- mass density (g/cm³) = 9.401

***

6.
First-principles (GGA-PBE) data for a relaxed structure of As2HW, as listed in the Alexandria database.

```
As2HW
1.0
-2.9645 2.9645 3.1101
2.9645 -2.9645 3.1101
2.9645 2.9645 -3.1101
As H W
4 2 2
Direct
0.0403 0.6250 0.9153 As
0.3750 0.2903 0.4153 As
0.7097 0.1250 0.0847 As
0.8750 0.9597 0.5847 As
0.0000 0.0000 0.0000 H
0.7500 0.2500 0.5000 H
0.2500 0.7500 0.5000 W
0.5000 0.5000 0.0000 W
```

Calculated values
- offset from the most stable computed form (eV per atom) = 0.000
- space-group type = I-42d (122)
- mass density (g/cm³) = 10.167